VASP calculation (PBE) on AcIF after structural relaxation.

Cell: 4.4730 4.4730 4.6722 Å, 90.00 90.00 120.00°
Space group P-6m2 (No. 187)
Inequivalent atoms, fractional coordinates:
Ac 0.0000 0.0000 0.0000
I 0.6667 0.3333 0.5000
F 0.3333 0.6667 0.0000

Summary:
Crystal system: hexagonal
Formation energy (no corrections) (meV/atom): -2357.8